1.
Computed, not measured: crystalline LiCa2Th at its relaxed geometry at the PBE-GGA level of DFT.

Geometry as extended XYZ:
```
4
Lattice="3.513 0.000 0.000 1.756 3.042 0.000 1.756 1.014 12.715" Properties=species:S:1:pos:R:3 pbc="T T T"
Th 0.000 0.000 0.000
Ca 1.756 1.014 9.213
Ca 5.269 3.042 3.502
Li 3.513 2.028 6.358
```

Results
Energy relative to the lowest polymorph listed for this composition in meV per atom: 130.1
ΔE_f in meV per atom: 284.8

2.
Computed, not measured: crystalline LiCaTh at its relaxed geometry at the PBE-GGA level of DFT.

Geometry as extended XYZ:
```
3
Lattice="-3.112 -1.079 1.308 0.532 0.039 -3.503 2.979 -8.149 0.361" Properties=species:S:1:pos:R:3 pbc="T T T"
Ca 0.024 -0.066 0.003
Th 1.265 -5.662 -1.664
Li -0.890 -3.461 -0.174
```

Results
Energy relative to the lowest polymorph listed for this composition in meV per atom: 0.0
ΔE_f in meV per atom: 205.5

3.
Computed, not measured: crystalline LiCa2Th at its relaxed geometry at the PBE-GGA level of DFT.

Geometry as extended XYZ:
```
4
Lattice="3.594 0.000 0.000 0.000 3.594 0.000 0.000 0.000 10.285" Properties=species:S:1:pos:R:3 pbc="T T T"
Th 1.797 1.797 0.000
Li 1.797 1.797 5.143
Ca 0.000 0.000 2.747
Ca 0.000 0.000 7.538
```

Results
Energy relative to the lowest polymorph listed for this composition in meV per atom: 0.0
ΔE_f in meV per atom: 154.6

4.
Computed, not measured: crystalline LiCaTh at its relaxed geometry at the PBE-GGA level of DFT.

Geometry as extended XYZ:
```
3
Lattice="3.532 0.000 0.000 0.000 3.532 0.000 -1.766 -1.766 7.239" Properties=species:S:1:pos:R:3 pbc="T T T"
Th 1.766 1.766 2.622
Li 0.000 0.000 4.801
Ca 1.766 1.766 7.055
```

Results
Energy relative to the lowest polymorph listed for this composition in meV per atom: 12.1
ΔE_f in meV per atom: 217.6

5.
Computed, not measured: crystalline Li4CaTh at its relaxed geometry at the PBE-GGA level of DFT.

Geometry as extended XYZ:
```
6
Lattice="5.965 0.000 0.000 2.983 5.166 0.000 2.983 1.722 4.870" Properties=species:S:1:pos:R:3 pbc="T T T"
Th 0.000 0.000 0.000
Li 5.965 1.721 3.044
Li 7.457 4.306 3.044
Li 5.965 3.444 0.607
Li 4.473 4.306 3.044
Ca 2.983 1.722 1.218
```

Results
ΔE_f in meV per atom: 212.4

6.
Computed, not measured: crystalline Li2CaTh at its relaxed geometry at the PBE-GGA level of DFT.

Geometry as extended XYZ:
```
4
Lattice="3.696 0.000 0.000 0.000 3.696 0.000 0.000 0.000 7.942" Properties=species:S:1:pos:R:3 pbc="T T T"
Li 0.000 0.000 6.004
Li 0.000 0.000 1.938
Ca 1.848 1.848 3.971
Th 1.848 1.848 0.000
```

Results
Energy relative to the lowest polymorph listed for this composition in meV per atom: 0.0
ΔE_f in meV per atom: 204.3